1.
## Sm2Dy3Er6Mg (GGA-PBE)

Data for crystalline Sm2Dy3Er6Mg at its relaxed geometry.

Unit cell a=6.083 b=6.083 c=11.665 alpha=95.01 beta=95.01 gamma=120.04
Element x y z (fractional)
1 Sm 0.166 0.834 0.000
2 Sm 0.834 0.166 0.000
3 Dy 0.000 0.000 0.500
4 Dy 0.334 0.666 0.500
5 Dy 0.666 0.334 0.500
6 Er 0.085 0.417 0.750
7 Er 0.251 0.251 0.251
8 Er 0.417 0.085 0.750
9 Er 0.583 0.915 0.250
10 Er 0.749 0.749 0.749
11 Er 0.915 0.583 0.250
12 Mg 0.500 0.500 0.000

## Properties
Energy ... -0.1590 Ha/atom
Space group ... C2/m
Magnetic moment ... 0.0 μB/cell



2.
## TbHo3Al (GGA-PBE)

Data for crystalline TbHo3Al at its relaxed geometry.

Unit cell a=6.677 b=6.677 c=12.409 alpha=94.92 beta=94.92 gamma=31.07
Element x y z (fractional)
1 Tb 0.224 0.224 0.248
2 Tb 0.776 0.776 0.752
3 Ho 0.033 0.033 0.694
4 Ho 0.141 0.141 0.950
5 Ho 0.365 0.365 0.519
6 Ho 0.635 0.635 0.481
7 Ho 0.859 0.859 0.050
8 Ho 0.967 0.967 0.306
9 Al 0.450 0.450 0.879
10 Al 0.550 0.550 0.121

## Properties
Energy ... -0.1678 Ha/atom
Space group ... C2/m
Magnetic moment ... 0.9 μB/cell



3.
## Tm4InHg2Pd (GGA-PBE)

Data for crystalline Tm4InHg2Pd at its relaxed geometry.

Unit cell a=8.866 b=8.866 c=8.866 alpha=33.72 beta=33.72 gamma=33.72
Element x y z (fractional)
1 Tm 0.118 0.118 0.118
2 Tm 0.370 0.370 0.370
3 Tm 0.630 0.630 0.630
4 Tm 0.882 0.882 0.882
5 In 0.500 0.500 0.500
6 Hg 0.245 0.245 0.245
7 Hg 0.755 0.755 0.755
8 Pd 0.000 0.000 0.000

## Properties
Energy ... -0.1425 Ha/atom
Space group ... R-3m
Magnetic moment ... 0.0 μB/cell



4.
## CsRbTeS3 (GGA-PBE)

Data for crystalline CsRbTeS3 at its relaxed geometry.

Unit cell a=7.644 b=7.644 c=13.506 alpha=90.00 beta=90.00 gamma=140.34
Element x y z (fractional)
1 Cs 0.242 0.758 0.750
2 Cs 0.758 0.242 0.250
3 Rb 0.000 0.000 0.000
4 Rb 0.000 0.000 0.500
5 Te 0.476 0.524 0.250
6 Te 0.524 0.476 0.750
7 S 0.025 0.975 0.250
8 S 0.375 0.625 0.112
9 S 0.375 0.625 0.388
10 S 0.625 0.375 0.612
11 S 0.625 0.375 0.888
12 S 0.975 0.025 0.750

## Properties
Energy ... -0.1322 Ha/atom
Space group ... Cmcm
Magnetic moment ... 0.0 μB/cell